Material: TlTeIr2
Method: DFT, GGA-PBE
State: relaxed

Output
**E_tot**: -5.2386 eV per atom
**Total moment**: 0.00 μB per formula unit
**Energy relative to the elements, uncorrected**: 0.569 eV per atom
**Polymorph energy (0 for the lowest one)**: 185 meV/atom
**Crystal system**: orthorhombic

Unit cell a=4.900 b=4.900 c=3.158 alpha=90.00 beta=90.00 gamma=98.62
Fractional positions:
Ir 0.500 0.500 0.000
Tl 0.000 0.500 0.500
Ir 0.000 0.000 0.000
Te 0.500 0.000 0.500

Material: SrPm2Pt3
Method: DFT, GGA-PBE
State: relaxed

Output
**E_tot**: -5.8978 eV per atom
**Total moment**: 0.00 μB per formula unit
**Crystal system**: tetragonal
**Formation enthalpy at 0 K**: -1.01 eV/atom

Unit cell a=3.599 b=3.599 c=11.040 alpha=90.00 beta=90.00 gamma=90.00
Fractional positions:
Pm 0.500 0.500 0.165
Sr 0.500 0.500 0.500
Pt 0.000 0.000 0.692
Pm 0.500 0.500 0.835
Pt 0.000 0.000 0.308
Pt 0.000 0.000 0.000

Material: ZrNi4
Method: DFT, GGA-PBE
State: relaxed

Output
**E_tot**: -4.9191 eV per atom
**Total moment**: 0.00 μB per formula unit
**Polymorph energy (0 for the lowest one)**: 1678 meV/atom
**Crystal system**: cubic
**Formation enthalpy at 0 K**: 1.42 eV/atom

Unit cell a=4.504 b=4.504 c=4.504 alpha=90.00 beta=90.00 gamma=90.00
Fractional positions:
Ni 0.500 0.000 0.500
Zr 0.500 0.500 0.500
Ni 0.000 0.500 0.500
Ni 0.500 0.500 0.000
Ni 0.000 0.000 0.000

Material: Li2PrGaO4
Method: DFT, GGA-PBE
State: relaxed

Output
**E_tot**: -6.3096 eV per atom
**Total moment**: 0.00 μB per formula unit
**Energy relative to the elements, uncorrected**: -2.376 eV per atom
**Crystal system**: tetragonal

Unit cell a=5.289 b=5.011 c=5.011 alpha=83.44 beta=58.14 gamma=58.14
Fractional positions:
O 0.000 0.865 0.553
O 0.000 0.447 0.135
O 0.418 0.135 0.447
Li 0.500 0.250 0.750
Pr 0.000 0.000 0.000
O 0.582 0.553 0.865
Ga 0.000 0.500 0.500
Li 0.500 0.750 0.250

Material: Cs2CuClF6
Method: DFT, GGA-PBE
State: relaxed

Output
**E_tot**: -3.6325 eV per atom
**Total moment**: 0.00 μB per formula unit
**Energy relative to the elements, uncorrected**: -1.745 eV per atom
**Crystal system**: tetragonal

Unit cell a=6.041 b=6.041 c=6.631 alpha=62.90 beta=62.90 gamma=90.00
Fractional positions:
F 0.770 0.230 0.000
F 0.816 0.816 0.368
Cs 0.750 0.250 0.500
Cl 0.500 0.500 0.000
F 0.230 0.230 0.000
Cs 0.250 0.750 0.500
F 0.770 0.770 0.000
Cu 0.000 0.000 0.000
F 0.230 0.770 0.000
F 0.184 0.184 0.632

Material: Ho2TmPaCo2
Method: DFT, GGA-PBE
State: relaxed

Output
**E_tot**: -6.4244 eV per atom
**Total moment**: 0.00 μB per formula unit
**Crystal system**: orthorhombic
**Formation enthalpy at 0 K**: -0.20 eV/atom

Unit cell a=6.680 b=6.742 c=7.872 alpha=115.35 beta=115.10 gamma=90.00
Fractional positions:
Co 0.590 0.382 0.181
Tm 0.250 0.000 0.000
Co 0.410 0.618 0.819
Ho 0.700 0.909 0.401
Pa 0.250 0.500 0.000
Ho 0.800 0.508 0.599
Pa 0.750 0.500 0.000
Ho 0.200 0.492 0.401
Co 0.090 0.799 0.181
Tm 0.750 0.000 0.000
Ho 0.300 0.091 0.599
Co 0.910 0.201 0.819